1.
LiAsBr2 | GGA-PBEsol | optimized geometry

It has space group C2/m (No. 12), with a = 9.001 Å, b = 3.412 Å, c = 6.221 Å, α = 90.00°, β = 101.66° and γ = 90.00°. Symmetry generates all atoms from Li at (0.000, 0.000, 0.000), As at (0.000, 0.500, 0.500) and Br at (0.180, 0.500, 0.227).

The calculation puts the raw total energy at -3.1803 eV/atom. The magnetic moment comes out at 0.00 μB/atom. Its distance to the lowest polymorph of the same formula is 0.0000 eV per atom. The calculation puts the uncorrected formation energy at -0.48 eV/atom.

***

2.
LiAsBr2 | GGA-PBEsol | optimized geometry

It has space group P4/mmm (No. 123), with a = 3.328 Å, b = 3.328 Å, c = 7.416 Å, α = 90.00°, β = 90.00° and γ = 90.00°. Symmetry generates all atoms from Li at (0.000, 0.000, 0.000), As at (0.000, 0.000, 0.500) and Br at (0.500, 0.500, 0.219).

The calculation puts the raw total energy at -2.9560 eV/atom. The magnetic moment comes out at 0.00 μB/atom. Its distance to the lowest polymorph of the same formula is 0.2243 eV per atom. The calculation puts the uncorrected formation energy at -0.25 eV/atom.

***

3.
Li2AsBr | GGA-PBEsol | optimized geometry

It has space group F-43m (No. 216), with a = 6.857 Å, b = 6.857 Å, c = 6.857 Å, α = 90.00°, β = 90.00° and γ = 90.00°. Symmetry generates all atoms from Li at (0.000, 0.000, 0.000), Li at (0.250, 0.250, 0.250), As at (0.250, 0.250, 0.750) and Br at (0.000, 0.000, 0.500).

The calculation puts the raw total energy at -2.8108 eV/atom. The magnetic moment comes out at 0.00 μB/atom. Its distance to the lowest polymorph of the same formula is 0.4983 eV per atom. The calculation puts the uncorrected formation energy at -0.08 eV/atom.

***

4.
LiAs2Br | GGA-PBEsol | optimized geometry

It has space group P4/mmm (No. 123), with a = 5.118 Å, b = 5.118 Å, c = 2.965 Å, α = 90.00°, β = 90.00° and γ = 90.00°. Symmetry generates all atoms from Li at (0.000, 0.000, 0.000), As at (0.000, 0.500, 0.500) and Br at (0.500, 0.500, 0.000).

The calculation puts the raw total energy at -3.3328 eV/atom. The magnetic moment comes out at 0.00 μB/atom. Its distance to the lowest polymorph of the same formula is 0.6472 eV per atom. The calculation puts the uncorrected formation energy at 0.18 eV/atom.

***

5.
LiAs2Br | GGA-PBEsol | optimized geometry

It has space group P4mm (No. 99), with a = 3.486 Å, b = 3.486 Å, c = 7.511 Å, α = 90.00°, β = 90.00° and γ = 90.00°. Symmetry generates all atoms from Li at (0.000, 0.000, 0.000), As at (0.000, 0.000, 0.625), As at (0.500, 0.500, 0.503) and Br at (0.500, 0.500, 0.059).

The calculation puts the raw total energy at -3.9680 eV/atom. The magnetic moment comes out at 0.00 μB/atom. Its distance to the lowest polymorph of the same formula is 0.0119 eV per atom. The calculation puts the uncorrected formation energy at -0.46 eV/atom.

***

6.
Li2AsBr | GGA-PBEsol | optimized geometry

It has space group Pmmm (No. 47), with a = 3.100 Å, b = 4.337 Å, c = 5.667 Å, α = 90.00°, β = 90.00° and γ = 90.00°. Symmetry generates all atoms from Li at (0.000, 0.000, 0.000), Li at (0.000, 0.500, 0.500), As at (0.500, 0.000, 0.500) and Br at (0.500, 0.500, 0.000).

The calculation puts the raw total energy at -3.3090 eV/atom. The magnetic moment comes out at 0.00 μB/atom. Its distance to the lowest polymorph of the same formula is 0.0000 eV per atom. The calculation puts the uncorrected formation energy at -0.58 eV/atom.

***

The lowest raw total energy belongs to which entry? number 5